Entry 1:
A relaxed Tb5Y2Th2 crystal, computed with PBE.

Cell: 3.473 7.893 13.049 Å, 119.11 97.65 90.00°
Fractional positions:
Th (0.555, 0.758, 0.110)
Th (0.445, 0.242, 0.890)
Tb (0.307, 0.163, 0.615)
Tb (0.090, 0.450, 0.179)
Tb (0.000, 0.000, 0.000)
Tb (0.693, 0.837, 0.385)
Tb (0.910, 0.550, 0.821)
Y (0.823, 0.791, 0.645)
Y (0.177, 0.209, 0.355)

Values from the calculation:
* DOS(E_F): 13.632 states/eV per cell
* E_form: 282 meV/atom
* spin magnetization: 0.00 μB per cell
* space-group type: C2/m (12)
* final energy: -5.38 eV/atom
* calculated volume: 309 Å³/cell

---

Entry 2:
A relaxed Tb5Y2Th4 crystal, computed with PBE.

Cell: 6.673 9.016 10.333 Å, 39.09 71.16 68.28°
Fractional positions:
Y (0.197, 0.930, 0.676)
Y (0.803, 0.070, 0.324)
Tb (0.347, 0.732, 0.096)
Tb (0.175, 0.268, 0.904)
Tb (0.825, 0.732, 0.096)
Tb (0.653, 0.268, 0.904)
Tb (0.000, 0.500, 0.500)
Th (0.406, 0.780, 0.407)
Th (0.594, 0.220, 0.593)
Th (0.751, 0.657, 0.841)
Th (0.249, 0.343, 0.159)

Values from the calculation:
* DOS(E_F): 15.458 states/eV per cell
* E_form: 195 meV/atom
* spin magnetization: 0.00 μB per cell
* space-group type: C2/m (12)
* final energy: -5.78 eV/atom
* calculated volume: 363 Å³/cell

---

Entry 3:
A relaxed Tb7Y16Th6 crystal, computed with PBE.

Cell: 11.113 11.113 11.113 Å, 60.00 60.00 60.00°
Fractional positions:
Tb (0.500, 0.500, 0.000)
Tb (0.500, 0.000, 0.000)
Tb (0.000, 0.000, 0.500)
Tb (0.000, 0.500, 0.000)
Tb (0.500, 0.000, 0.500)
Tb (0.000, 0.500, 0.500)
Tb (0.000, 0.000, 0.000)
Th (0.332, 0.332, 0.668)
Th (0.332, 0.668, 0.668)
Th (0.668, 0.668, 0.332)
Th (0.668, 0.332, 0.332)
Th (0.332, 0.668, 0.332)
Th (0.668, 0.332, 0.668)
Y (0.360, 0.880, 0.880)
Y (0.658, 0.658, 0.658)
Y (0.120, 0.120, 0.120)
Y (0.120, 0.640, 0.120)
Y (0.120, 0.120, 0.640)
Y (0.880, 0.880, 0.880)
Y (0.342, 0.342, 0.342)
Y (0.975, 0.342, 0.342)
Y (0.025, 0.658, 0.658)
Y (0.880, 0.880, 0.360)
Y (0.658, 0.025, 0.658)
Y (0.342, 0.975, 0.342)
Y (0.658, 0.658, 0.025)
Y (0.342, 0.342, 0.975)
Y (0.640, 0.120, 0.120)
Y (0.880, 0.360, 0.880)

Values from the calculation:
* DOS(E_F): 55.192 states/eV per cell
* E_form: 322 meV/atom
* spin magnetization: 0.00 μB per cell
* space-group type: Fm-3m (225)
* final energy: -5.90 eV/atom
* calculated volume: 970 Å³/cell

---

Entry 4:
A relaxed Tb5Y2Th4 crystal, computed with PBE.

Cell: 3.585 8.714 11.872 Å, 104.49 98.68 90.00°
Fractional positions:
Tb (0.863, 0.903, 0.726)
Tb (0.137, 0.097, 0.274)
Tb (0.773, 0.188, 0.546)
Tb (0.500, 0.000, 0.000)
Tb (0.227, 0.812, 0.454)
Y (0.589, 0.718, 0.178)
Y (0.411, 0.282, 0.822)
Th (0.682, 0.453, 0.365)
Th (0.047, 0.363, 0.094)
Th (0.953, 0.637, 0.906)
Th (0.318, 0.547, 0.635)

Values from the calculation:
* DOS(E_F): 16.189 states/eV per cell
* E_form: 26 meV/atom
* spin magnetization: 0.00 μB per cell
* space-group type: C2/m (12)
* final energy: -5.95 eV/atom
* calculated volume: 355 Å³/cell

---

Entry 5:
A relaxed Tb4Y3Th2 crystal, computed with PBE.

Cell: 5.813 6.338 9.392 Å, 115.96 108.03 90.00°
Fractional positions:
Tb (0.229, 0.322, 0.459)
Tb (0.439, 0.617, 0.879)
Tb (0.561, 0.383, 0.121)
Tb (0.771, 0.678, 0.541)
Th (0.355, 0.989, 0.709)
Th (0.645, 0.011, 0.291)
Y (0.124, 0.682, 0.248)
Y (0.876, 0.318, 0.752)
Y (0.000, 0.000, 0.000)

Values from the calculation:
* DOS(E_F): 14.613 states/eV per cell
* E_form: 132 meV/atom
* spin magnetization: 0.00 μB per cell
* space-group type: C2/m (12)
* final energy: -5.73 eV/atom
* calculated volume: 292 Å³/cell

---

Entry 6:
A relaxed Tb4Y2Th crystal, computed with PBE.

Cell: 3.605 3.603 20.240 Å, 95.15 90.00 120.01°
Fractional positions:
Y (0.621, 0.241, 0.096)
Y (0.714, 0.428, 0.380)
Tb (0.906, 0.813, 0.954)
Tb (0.523, 0.047, 0.811)
Tb (0.427, 0.855, 0.523)
Tb (0.001, 0.003, 0.237)
Th (0.808, 0.617, 0.667)

Values from the calculation:
* DOS(E_F): 12.310 states/eV per cell
* E_form: 24 meV/atom
* spin magnetization: 0.00 μB per cell
* space-group type: Cm (8)
* final energy: -5.53 eV/atom
* calculated volume: 226 Å³/cell